(P)
Nd6InIr2 PBE relaxed; crystal system = monoclinic
1.0
-1.4277 2.9241 -3.8124
-4.4488 -3.0279 2.6385
-3.4062 6.4018 6.1857
Nd In Ir
6 1 2
Cartesian
-8.4627 5.4218 4.0328
-3.4392 1.8686 -0.5737
-5.8434 4.4293 5.5856
-4.5006 4.8600 2.1181
-4.7821 1.4380 2.8938
-0.8200 0.8762 0.9791
-1.7031 3.2009 3.0929
-5.0695 6.8781 3.8790
-4.2132 -0.5801 1.1328

(Q)
Nd6InIr2 PBE relaxed; crystal system = orthorhombic
1.0
-7.3226 4.5730 -1.7332
-0.6516 -5.0348 7.1947
6.7432 5.3920 1.7298
Nd In Ir
12 2 4
Cartesian
1.1906 3.2637 5.6051
-2.4215 1.6665 1.5862
4.5311 3.4572 3.3172
-5.7620 1.4731 3.8741
-2.5508 2.8296 5.0866
1.3198 2.1006 2.1047
4.5374 2.2893 6.8184
-5.7683 2.6410 0.3728
-0.7720 4.9553 2.5468
-0.4589 -0.0251 4.6445
1.6046 0.0959 7.6675
-2.8355 4.8343 -0.4763
3.0458 0.1786 4.4622
0.0000 0.0000 0.0000
1.9579 5.1143 3.2911
-3.1888 -0.1841 3.9002
-0.3878 6.6696 -0.0023
-0.1916 3.2954 -0.0011

(Q) wins, 0.078 eV/atom ahead of the next structure.

(P)
Nd6In3Ir PBE relaxed; crystal system = monoclinic
1.0
5.4030 0.0000 0.0000
0.0000 9.0314 -2.9332
0.0000 0.0914 11.7769
Nd In Ir
12 6 2
Cartesian
1.3507 4.1513 -0.3472
4.0522 4.9715 9.1909
1.3507 1.1607 1.3876
4.0522 7.9621 7.4561
1.3507 6.2586 5.8255
4.0522 2.8642 3.0182
1.3507 2.0090 5.2445
4.0522 7.1138 3.5992
1.3507 7.7381 1.3632
4.0522 1.3847 7.4805
1.3507 0.9644 9.8160
4.0522 8.1584 -0.9723
1.3507 4.6816 2.9318
4.0522 4.4412 5.9119
1.3507 3.7158 8.0194
4.0522 5.4070 0.8243
1.3507 7.0497 9.2097
4.0522 2.0731 -0.3660
1.3507 8.7189 4.2143
4.0522 0.4039 4.6294

(Q)
Nd6In3Ir PBE relaxed; crystal system = orthorhombic
1.0
-4.2713 3.2468 0.4603
-3.1922 -5.1951 7.0224
6.0352 6.8259 7.7932
Nd In Ir
12 6 2
Cartesian
2.9106 7.0949 8.4621
0.7554 4.5922 6.1116
-2.1149 0.8808 5.6991
0.6866 3.9968 9.5768
-2.1837 0.2854 9.1644
-4.3389 -2.2172 6.8139
1.4124 1.0555 5.6910
-0.4937 -1.0417 2.7925
4.5570 5.1418 6.0249
-5.9853 -0.2642 9.2511
-0.9346 5.9193 12.4835
-2.8407 3.8221 9.5849
-0.4652 2.1764 11.8329
-3.7318 -0.9741 3.7414
-0.9630 2.7013 3.4430
-0.7269 -1.8504 6.3415
3.0176 3.4129 3.8966
-0.7014 6.7280 8.9345
-0.7141 2.4388 7.6380
0.0000 0.0000 0.0000

(P) wins, 0.011 eV/atom ahead of the next structure.

(P)
InIrO4 PBE relaxed; crystal system = tetragonal
1.0
-0.4407 -2.9935 -4.8857
-3.7189 -2.0318 3.8817
-1.1848 5.5246 -1.0490
In Ir O
2 2 8
Cartesian
-3.1335 -3.7857 -0.7564
-0.8266 1.2488 -2.9707
-1.0148 -1.2260 -0.2450
-2.8674 -1.2168 -3.4633
-4.4012 1.2770 1.7501
-2.8507 0.5705 -2.7057
-2.3328 -1.9183 -1.6730
-0.3830 0.3808 -1.1324
-2.8666 2.5926 -0.3451
-1.3984 1.9620 -4.8399
-1.0104 -0.7404 -3.7687
-2.4373 -0.1219 0.6156

(Q)
InIrO4 PBE relaxed; crystal system = monoclinic
1.0
-2.2850 3.3103 2.5479
-4.0629 -3.6781 1.1350
4.0527 -0.3756 4.1225
In Ir O
2 2 8
Cartesian
-0.0051 -2.0268 2.6287
0.8839 1.4673 3.3352
-3.1739 -0.1839 1.8414
0.0000 0.0000 0.0000
-3.5308 -2.1284 2.2106
-1.3004 -0.5776 1.4213
-2.7073 -0.2572 3.7557
-1.1961 -2.9383 4.1452
-1.0990 2.1949 3.6601
0.4121 -0.4861 4.0497
-0.9947 -0.1658 6.3840
1.2357 1.3850 5.5947

(Q) wins, 0.040 eV/atom ahead of the next structure.

(P)
InPIr2 PBE relaxed; crystal system = orthorhombic
1.0
-3.2495 0.4523 1.1574
-1.3473 -0.8067 -3.4672
-0.2665 -5.4018 1.3625
In Ir P
1 2 1
Cartesian
-2.8351 -4.4303 -0.9998
-0.6021 -5.5723 0.4870
-0.4713 -2.9338 -0.1768
-2.0282 -1.3260 0.0526

(Q)
InPIr2 PBE relaxed; crystal system = trigonal
1.0
-1.1285 -3.9003 7.2685
1.8355 -4.1092 7.0044
0.6097 -1.6381 8.1401
In Ir P
1 2 1
Cartesian
0.9876 -7.2357 16.8097
1.2999 -9.5239 22.1257
0.6753 -4.9474 11.4937
0.3292 -2.4119 5.6032

(R)
InPIr2 PBE relaxed; crystal system = monoclinic
1.0
7.3580 0.0240 -0.0850
6.7710 2.8799 -0.0850
0.7825 0.1608 3.1735
In Ir P
1 2 1
Cartesian
11.9117 2.4483 2.0646
13.7848 2.8333 -0.0777
2.7378 0.5627 0.9981
8.0620 1.6570 1.3503

(S)
InPIr2 PBE relaxed; crystal system = tetragonal
1.0
-0.1343 0.2677 2.9183
2.8584 -0.6321 0.1896
1.7222 7.6022 -0.6181
In Ir P
1 2 1
Cartesian
2.6968 5.7095 1.0749
0.0325 0.1437 -0.0117
1.8268 1.8695 1.3871
0.7513 3.3162 -0.2696

(R) wins, 0.055 eV/atom ahead of the next structure.

(P)
InPIr2 PBE relaxed; crystal system = monoclinic
1.0
3.7148 -0.0021 0.0265
2.5387 2.7119 0.0265
1.8763 0.8130 6.8733
In Ir P
1 2 1
Cartesian
6.0973 2.6421 5.1947
0.2254 0.0977 0.4823
3.8395 1.6638 2.9808
2.0324 0.8807 1.7316

(Q)
InPIr2 PBE relaxed; crystal system = trigonal
1.0
8.3837 -0.0158 -0.0093
7.8212 3.0192 -0.0093
7.8212 1.4496 2.6485
In Ir P
1 2 1
Cartesian
17.9946 3.3352 1.9697
23.9491 4.4388 2.6214
5.7784 1.0710 0.6325
12.3431 2.2877 1.3511

(R)
InPIr2 PBE relaxed; crystal system = cubic
1.0
0.0000 3.1644 3.1644
3.1644 0.0000 3.1644
3.1644 3.1644 0.0000
P Ir In
1 2 1
Cartesian
0.0000 0.0000 0.0000
1.5822 1.5822 1.5822
4.7465 4.7465 4.7465
3.1644 3.1644 3.1644

(P) wins, 0.268 eV/atom ahead of the next structure.

(P)
InPIr2 PBE relaxed; crystal system = tetragonal
1.0
-4.1318 3.0175 3.1728
0.8717 -3.7082 4.6619
1.7387 2.5272 5.5723
P Ir In
2 4 2
Cartesian
-1.6300 -0.3453 3.9173
0.4902 -0.7632 7.0758
-1.7820 1.8667 3.7617
0.2063 -1.1211 4.9005
0.1357 1.4060 7.4069
-1.6027 1.5214 10.7449
0.0000 0.0000 0.0000
-2.0116 2.5997 6.3312

(Q)
InPIr2 PBE relaxed; crystal system = orthorhombic
1.0
4.8438 -0.2813 -0.2747
1.2014 4.7009 0.2747
-2.2263 -3.2991 2.7887
In Ir P
1 2 1
Cartesian
0.9989 1.8058 1.5317
5.7024 4.1689 0.0000
3.3655 2.4604 0.0000
2.8201 -0.6853 1.2570

(R)
InPIr2 PBE relaxed; crystal system = cubic
1.0
4.5165 0.0000 0.0000
2.2583 3.9114 0.0000
2.2583 1.3038 3.6877
In Ir P
1 2 1
Cartesian
4.5165 2.6076 1.8439
0.0000 0.0000 0.0000
6.7748 3.9114 2.7658
2.2583 1.3038 0.9219

(S)
InPIr2 PBE relaxed; crystal system = tetragonal
1.0
4.1248 0.0000 0.0000
0.0000 4.1168 0.0682
0.0000 -0.0723 4.1708
In Ir P
1 2 1
Cartesian
2.0624 3.5490 3.0522
0.0000 3.5894 0.8054
2.0624 1.5311 0.7765
0.0000 1.5141 1.7926

(S) wins, 0.160 eV/atom ahead of the next structure.

(P)
InPIr2 PBE relaxed; crystal system = tetragonal
1.0
5.2316 0.0050 0.0000
2.5246 4.5822 0.0000
-3.8781 -2.2936 2.6589
In Ir P
1 2 1
Cartesian
2.6158 0.0025 1.3294
0.0000 0.0000 0.0000
1.2623 2.2911 1.3294
3.8781 2.2936 0.0000

(Q)
InPIr2 PBE relaxed; crystal system = orthorhombic
1.0
-2.4902 1.4332 0.5283
-2.6048 -3.8762 -1.7623
-0.1455 -1.7558 4.0770
In Ir P
1 2 1
Cartesian
-1.3752 -2.8160 1.1573
0.0000 0.0000 0.0000
-2.5475 -1.2215 -0.6170
-1.3179 -0.1613 2.3027

(R)
InPIr2 PBE relaxed; crystal system = monoclinic
1.0
-3.9351 -3.3420 1.2080
2.7502 1.6737 4.2129
-1.8872 1.5196 1.6620
In Ir P
1 2 1
Cartesian
0.4315 1.5967 2.9374
0.0000 0.0000 0.0000
-0.5924 -0.8341 2.7104
-2.9111 -0.9112 1.4350

(S)
InPIr2 PBE relaxed; crystal system = tetragonal
1.0
-0.8952 2.8733 -1.3468
-3.1454 -0.6182 0.7717
0.7802 2.7761 5.4039
In Ir P
1 2 1
Cartesian
-1.4224 3.2552 3.8541
0.0143 0.0508 0.0990
-1.7804 1.9811 1.3740
0.3182 1.1321 2.2037

(S) wins, 0.314 eV/atom ahead of the next structure.

(P)
InPIrS2 PBE relaxed; crystal system = tetragonal
1.0
-2.8830 1.6606 3.5678
-3.9322 -1.3927 -2.5292
0.1602 -4.4428 2.1973
P S Ir In
1 2 1 1
Cartesian
0.0801 -2.2214 1.0987
-1.9661 -0.6963 -1.2646
-1.4415 0.8303 1.7839
-3.3275 -2.0874 1.6180
0.0000 0.0000 0.0000

(Q)
InPIrS2 PBE relaxed; crystal system = tetragonal
1.0
4.4579 0.0000 0.0000
0.0000 4.8687 0.0000
0.0000 0.0000 4.4579
P S Ir In
1 2 1 1
Cartesian
0.0000 0.0000 0.0000
0.0000 0.0000 2.2289
2.2289 0.0000 0.0000
2.2289 2.4344 2.2289
0.0000 2.4344 0.0000

(R)
InPIrS2 PBE relaxed; crystal system = tetragonal
1.0
4.9661 0.0000 0.0000
0.0000 4.9661 0.0000
0.0000 0.0000 4.4046
P S Ir In
1 2 1 1
Cartesian
0.0000 0.0000 2.2023
0.0000 2.4831 0.0000
2.4831 0.0000 0.0000
0.0000 0.0000 0.0000
2.4831 2.4831 2.2023

(R) wins, 0.714 eV/atom ahead of the next structure.

(P)
InIr2Pb PBE relaxed; crystal system = tetragonal
1.0
-1.1716 2.9288 0.1013
-2.4555 -1.0383 1.6892
3.7500 1.2842 6.2404
In Ir Pb
1 2 1
Cartesian
0.9989 1.9084 5.5756
3.6988 1.2666 6.1552
1.9262 0.6596 3.2054
-0.8761 1.2663 2.4554

(Q)
InIr2Pb PBE relaxed; crystal system = cubic
1.0
4.1546 -2.1852 0.3325
2.9675 1.1043 3.4815
0.7763 -3.0604 3.4896
Pb Ir In
1 2 1
Cartesian
3.9492 -2.0706 3.6518
1.9746 -1.0353 1.8259
5.9238 -3.1060 5.4776
0.0000 0.0000 0.0000

(P) wins, 0.062 eV/atom ahead of the next structure.